First-principles (PBE) data for a geometry-optimized K2BaSn3O8 structure, as listed in the Alexandria database.

Summary:
- symmetry = R3m
- total magnetic moment (μB per atom) = 0.0000
- raw total energy (eV/atom) = -5.752

Lattice parameters (Å, degrees): 6.595 6.595 7.401 63.54 63.54 60.00
Element x y z (fractional)
O 0.755 0.318 0.172
O 0.318 0.755 0.172
O 0.239 0.686 0.836
O 0.239 0.239 0.836
O 0.755 0.755 0.172
O 0.270 0.270 0.191
O 0.686 0.239 0.836
O 0.729 0.729 0.813
K 0.497 0.497 0.508
K 0.125 0.125 0.624
Ba 0.877 0.877 0.368
Sn 0.499 0.003 0.999
Sn 0.499 0.499 0.999
Sn 0.003 0.499 0.999

***

First-principles (PBE) data for a geometry-optimized YTeRhO6 structure, as listed in the Alexandria database.

Summary:
- symmetry = P-31c
- total magnetic moment (μB per atom) = 0.0000
- raw total energy (eV/atom) = -6.614

Lattice parameters (Å, degrees): 5.481 5.481 8.497 90.00 90.00 120.00
Element x y z (fractional)
O 0.643 0.683 0.622
O 0.040 0.683 0.878
O 0.357 0.317 0.378
O 0.040 0.357 0.622
O 0.683 0.643 0.122
O 0.317 0.960 0.622
O 0.357 0.040 0.122
O 0.960 0.317 0.122
O 0.317 0.357 0.878
O 0.683 0.040 0.378
O 0.643 0.960 0.878
O 0.960 0.643 0.378
Rh 0.000 0.000 0.000
Rh 0.000 0.000 0.500
Te 0.667 0.333 0.250
Te 0.333 0.667 0.750
Y 0.333 0.667 0.250
Y 0.667 0.333 0.750

***

First-principles (PBE) data for a geometry-optimized CdAsRh2 structure, as listed in the Alexandria database.

Summary:
- symmetry = C2/m
- total magnetic moment (μB per atom) = 0.0000
- N(E_F) (states/eV/f.u.) = 1.6
- excess energy over the best structure of this formula in the dataset (meV per atom) = 61.7

Lattice parameters (Å, degrees): 3.799 3.799 6.645 79.45 79.45 48.11
Element x y z (fractional)
Rh 0.992 0.992 0.056
Rh 0.508 0.508 0.444
Cd 0.750 0.750 0.750
As 0.250 0.250 0.250

***

First-principles (PBE) data for a geometry-optimized Tc2RuPt structure, as listed in the Alexandria database.

Summary:
- symmetry = P4mm
- total magnetic moment (μB per atom) = 0.0000
- N(E_F) (states/eV/f.u.) = 5.3
- excess energy over the best structure of this formula in the dataset (meV per atom) = 115.6

Lattice parameters (Å, degrees): 2.731 2.731 7.868 90.00 90.00 90.00
Element x y z (fractional)
Pt 0.000 0.000 0.498
Tc 0.000 0.000 0.991
Tc 0.500 0.500 0.248
Ru 0.500 0.500 0.764

***

Copy entry 4 word for word.
First-principles (PBE) data for a geometry-optimized Tc2RuPt structure, as listed in the Alexandria database.

Summary:
- symmetry = P4mm
- total magnetic moment (μB per atom) = 0.0000
- N(E_F) (states/eV/f.u.) = 5.3
- excess energy over the best structure of this formula in the dataset (meV per atom) = 115.6

Lattice parameters (Å, degrees): 2.731 2.731 7.868 90.00 90.00 90.00
Element x y z (fractional)
Pt 0.000 0.000 0.498
Tc 0.000 0.000 0.991
Tc 0.500 0.500 0.248
Ru 0.500 0.500 0.764

***

Q: What is the formula in the third record?
A: CdAsRh2